[1]
Density functional theory data (PBE) for DyY4Tm5 after structural relaxation.

a b c (Å): 3.533 6.702 13.842
angles (deg): 97.43 90.51 104.79
Space group P-1 (No. 2)
Inequivalent atoms, fractional coordinates:
Dy (0.000, 0.000, 0.000)
Y (0.130, 0.706, 0.806)
Y (0.168, 0.824, 0.215)
Tm (0.188, 0.875, 0.583)
Tm (0.467, 0.420, 0.613)
Tm (0.500, 0.500, 0.000)

Values from the calculation:
E above lowest polymorph	0.0	meV per atom
calculated volume	314.0	Å³/cell
raw total energy	-5.22	eV/atom
magnetization	0.00	μB per formula unit
energy of formation from the pure elements	60	meV/atom
crystal system	triclinic

***

[2]
Density functional theory data (PBE) for LiTlSeS2 after structural relaxation.

a b c (Å): 5.728 11.659 6.795
angles (deg): 90.00 90.00 90.00
Space group Cmme (No. 67)
Inequivalent atoms, fractional coordinates:
Li (0.250, 0.000, 0.000)
Tl (0.000, 0.250, 0.229)
Se (0.000, 0.000, 0.500)
S (0.000, 0.117, 0.796)

Values from the calculation:
energy relative to the elements, uncorrected	-1.50	eV/f.u.
calculated volume	453.8	Å³/cell
raw total energy	-3.50	eV/atom
magnetization	0.00	μB per formula unit
crystal system	orthorhombic

***

[3]
Density functional theory data (PBE) for NaTeH4 after structural relaxation.

a b c (Å): 6.974 11.918 5.106
angles (deg): 90.00 131.18 90.00
Space group C2/c (No. 15)
Inequivalent atoms, fractional coordinates:
Na (0.000, 0.123, 0.250)
Te (0.000, 0.370, 0.750)
H (0.181, 0.255, 0.717)
H (0.214, 0.485, 0.790)

Values from the calculation:
calculated volume	319.5	Å³/cell
raw total energy	-2.56	eV/atom
magnetization	0.00	μB per formula unit
crystal system	monoclinic

***

[4]
Density functional theory data (PBE) for ScCo3Ge3 after structural relaxation.

a b c (Å): 6.332 6.332 6.332
angles (deg): 90.00 90.00 90.00
Space group Pm-3n (No. 223)
Inequivalent atoms, fractional coordinates:
Sc (0.000, 0.000, 0.000)
Co (0.000, 0.250, 0.500)
Ge (0.000, 0.500, 0.250)

Values from the calculation:
E above lowest polymorph	421.2	meV per atom
calculated volume	253.9	Å³/cell
raw total energy	-5.73	eV/atom
magnetization	0.00	μB per formula unit
energy of formation from the pure elements	203	meV/atom
crystal system	cubic

***

[5]
Density functional theory data (PBE) for LaNiMo2 after structural relaxation.

a b c (Å): 4.675 4.675 17.484
angles (deg): 90.00 90.00 90.00
Space group I-42d (No. 122)
Inequivalent atoms, fractional coordinates:
La (0.000, 0.000, 0.000)
Ni (0.000, 0.000, 0.500)
Mo (0.020, 0.250, 0.625)

Values from the calculation:
E above lowest polymorph	546.8	meV per atom
calculated volume	382.1	Å³/cell
raw total energy	-7.33	eV/atom
magnetization	0.00	μB per formula unit
energy of formation from the pure elements	764	meV/atom
crystal system	tetragonal

***

[6]
Density functional theory data (PBE) for PmSm3Te2 after structural relaxation.

a b c (Å): 18.702 4.010 10.917
angles (deg): 90.00 114.81 90.00
Space group C2/m (No. 12)
Inequivalent atoms, fractional coordinates:
Pm (0.109, 0.000, 0.108)
Sm (0.049, 0.000, 0.658)
Sm (0.136, 0.500, 0.463)
Sm (0.192, 0.500, 0.867)
Te (0.014, 0.500, 0.850)
Te (0.246, 0.500, 0.305)

Values from the calculation:
energy relative to the elements, uncorrected	-5.01	eV/f.u.
calculated volume	743.0	Å³/cell
raw total energy	-5.03	eV/atom
magnetization	0.00	μB per formula unit
crystal system	monoclinic